<w>
{
  "formula": "La4ZnIn",
  "functional": "PBE-GGA",
  "state": "optimized geometry",
  "cell": [[5.327, 0.000, 0.000], [0.000, 5.328, 0.000], [0.006, 0.009, 7.416]],
  "species": ["La", "La", "La", "La", "Zn", "In"],
  "fractional_positions": [[0.501, 0.997, 0.272], [0.501, 0.998, 0.725], [0.002, 0.497, 0.724], [0.001, 0.497, 0.272], [0.001, 0.997, 0.498], [0.501, 0.497, 0.998]],
  "spacegroup": "C2/m, No. 12"
}



<x>
{
  "formula": "La4ZnIn",
  "functional": "PBE-GGA",
  "state": "optimized geometry",
  "cell": [[3.567, 0.000, 1.032], [1.975, 5.910, -0.147], [-0.592, -1.581, 8.727]],
  "species": ["La", "La", "La", "La", "Zn", "In"],
  "fractional_positions": [[0.840, 0.508, 0.811], [0.306, 0.053, 0.335], [0.160, 0.492, 0.189], [0.694, 0.947, 0.665], [0.500, 0.500, 0.500], [0.000, 0.000, 0.000]],
  "spacegroup": "C2/m, No. 12"
}



Best to worst by energy: <x>, <w>.



<w>
{
  "formula": "La4Zn2In",
  "functional": "PBE-GGA",
  "state": "optimized geometry",
  "cell": [[5.086, 0.000, 1.589], [2.295, 4.539, 1.589], [-0.044, -0.027, 9.074]],
  "species": ["La", "La", "La", "La", "Zn", "Zn", "In"],
  "fractional_positions": [[0.867, 0.867, 0.399], [0.133, 0.133, 0.601], [0.615, 0.615, 0.156], [0.385, 0.385, 0.844], [0.744, 0.744, 0.768], [0.256, 0.256, 0.232], [0.000, 0.000, 0.000]],
  "spacegroup": "R-3m, No. 166"
}



<x>
{
  "formula": "La4Zn2In",
  "functional": "PBE-GGA",
  "state": "optimized geometry",
  "cell": [[-5.097, -0.638, 1.357], [-3.477, -1.887, -3.547], [-1.063, -9.331, 2.026]],
  "species": ["La", "La", "La", "La", "Zn", "Zn", "In"],
  "fractional_positions": [[0.381, 0.381, 0.856], [0.209, 0.209, 0.373], [0.791, 0.791, 0.627], [0.619, 0.619, 0.144], [0.098, 0.098, 0.706], [0.902, 0.902, 0.294], [0.000, 0.000, 0.000]],
  "spacegroup": "R-3m, No. 166"
}



Best to worst by energy: <w>, <x>.



<w>
{
  "formula": "La3ZrIn",
  "functional": "PBE-GGA",
  "state": "optimized geometry",
  "cell": [[5.682, 0.000, 0.000], [0.000, 5.682, 0.000], [0.000, 0.000, 5.682]],
  "species": ["In", "Zr", "La", "La", "La"],
  "fractional_positions": [[0.500, 0.500, 0.500], [0.000, 0.000, 0.000], [0.000, 0.500, 0.000], [0.000, 0.000, 0.500], [0.500, 0.000, 0.000]],
  "spacegroup": "Pm-3m, No. 221"
}



<x>
{
  "formula": "La3ZrIn",
  "functional": "PBE-GGA",
  "state": "optimized geometry",
  "cell": [[5.972, 0.000, 0.000], [0.000, 5.972, 0.000], [0.000, 0.000, 5.972]],
  "species": ["In", "Zr", "La", "La", "La"],
  "fractional_positions": [[0.000, 0.000, 0.000], [0.500, 0.500, 0.500], [0.000, 0.500, 0.000], [0.000, 0.000, 0.500], [0.500, 0.000, 0.000]],
  "spacegroup": "Pm-3m, No. 221"
}



Best to worst by energy: <w>, <x>.



<w>
{
  "formula": "LaZr2In2",
  "functional": "PBE-GGA",
  "state": "optimized geometry",
  "cell": [[-3.823, -1.977, 0.997], [2.172, -2.965, 2.451], [-1.498, 1.636, 7.287]],
  "species": ["In", "In", "Zr", "Zr", "La"],
  "fractional_positions": [[0.398, 0.398, 0.204], [0.602, 0.602, 0.796], [0.750, 0.250, 0.500], [0.250, 0.750, 0.500], [0.000, 0.000, 0.000]],
  "spacegroup": "I4/mmm, No. 139"
}



<x>
{
  "formula": "LaZr2In2",
  "functional": "PBE-GGA",
  "state": "optimized geometry",
  "cell": [[8.587, 0.000, 0.000], [0.000, 8.587, 0.000], [0.000, 0.000, 3.462]],
  "species": ["In", "In", "In", "In", "Zr", "Zr", "Zr", "Zr", "La", "La"],
  "fractional_positions": [[0.377, 0.877, 0.000], [0.877, 0.623, 0.000], [0.623, 0.123, 0.000], [0.123, 0.377, 0.000], [0.174, 0.674, 0.500], [0.674, 0.826, 0.500], [0.826, 0.326, 0.500], [0.326, 0.174, 0.500], [0.000, 0.000, 0.000], [0.500, 0.500, 0.000]],
  "spacegroup": "P4/mbm, No. 127"
}



Best to worst by energy: <w>, <x>.